--- a ---
Li2FeCo2O6 | the Alexandria database | GGA+U | relaxed; magnetic moment = 7.97 μB/cell; calculated volume = 217.9 Å³ per cell
1.0
-4.5674 -1.9957 0.3229
3.2029 -1.6883 -3.4409
3.4413 -6.8166 6.5479
Li O Co Fe
4 12 4 2
Cartesian
3.9447 -6.5842 2.6911 Li
0.0466 -6.7123 4.5483 Li
-1.8884 -3.9433 0.7796 Li
1.9838 -3.7639 -1.1269 Li
0.9366 -4.0112 1.5365 O
-0.7884 -3.7875 -2.0067 O
3.4159 -3.8218 0.3506 O
1.2828 -1.8492 -0.9945 O
1.1947 -6.4872 1.8670 O
-1.3607 -6.7043 3.0669 O
3.5304 -8.5430 3.0990 O
0.7900 -8.6294 4.4522 O
3.6680 -6.4807 0.6540 O
2.9198 -6.7109 5.4102 O
-1.5965 -3.9954 2.8013 O
-1.4765 -1.9805 0.3161 O
2.3157 -5.1997 1.0962 Co
-0.2387 -5.3008 2.3336 Co
1.9258 -1.7388 -2.8223 Co
-3.2901 -1.9452 -0.2958 Co
-0.6770 -1.8418 -1.5616 Fe
-2.8415 -5.4038 3.5942 Fe

***

--- b ---
Li2FeCo2O6 | the Alexandria database | GGA+U | relaxed; magnetic moment = 7.95 μB/cell; calculated volume = 210.9 Å³ per cell
1.0
-6.9866 5.1642 4.6256
-2.6596 -4.1656 0.6336
0.6448 -2.7771 4.0743
Co Li Fe O
4 4 2 12
Cartesian
-8.8387 0.2798 7.1713 Co
-8.1601 2.5798 5.6052 Co
-3.5825 0.4696 4.4266 Co
-4.2456 -1.8419 5.9824 Co
-3.6652 -3.5477 3.7251 Li
-5.3791 1.8009 5.6369 Li
-3.0007 -1.2194 2.1796 Li
-6.0771 -0.5026 7.2047 Li
0.0393 -2.9405 3.5769 Fe
-5.7039 -1.3044 3.5476 Fe
-4.3938 -3.6937 5.6993 O
-2.7442 -3.3435 1.7734 O
-3.7770 -1.4532 4.1829 O
-6.5930 3.3828 4.9489 O
-5.3765 0.6728 3.7328 O
-7.2454 1.1687 6.4888 O
-6.0845 -1.8094 5.4562 O
-0.8608 -1.4888 2.5162 O
-1.5545 -3.9816 4.2301 O
-7.8861 -1.1340 8.0444 O
-4.2219 0.0606 6.2128 O
-3.1046 0.8260 2.6064 O

***

Which one sits at the bottom of the stability order? a does.

***

--- a ---
Li2FeCoO4 | the Alexandria database | GGA+U | relaxed; DOS at the Fermi energy = 0.000 states/eV/atom; magnetic moment = 10.00 μB/cell; calculated volume = 140.6 Å³ per cell
1.0
4.1138 4.1343 -0.0005
-4.1138 4.1343 -0.0005
0.0000 4.0830 4.1344
O Co Fe Li
8 2 2 4
Cartesian
-2.1432 8.1801 4.0955 O
0.0291 4.0051 2.1699 O
2.1432 4.1714 0.0379 O
-2.1432 6.2129 2.1051 O
-0.0291 1.9636 0.1027 O
0.0291 10.3879 4.0306 O
2.1432 6.1386 2.0283 O
-0.0291 8.3464 1.9634 O
0.0000 0.0000 0.0000 Co
0.0000 2.0415 2.0672 Co
2.0569 4.1086 2.0669 Fe
-2.0569 2.0671 -0.0003 Fe
0.0000 4.1343 -0.0005 Li
0.0000 6.1758 2.0667 Li
-2.0569 4.1086 2.0669 Li
2.0569 2.0671 -0.0003 Li

***

--- b ---
Li2FeCoO4 | the Alexandria database | GGA+U | relaxed; DOS at the Fermi energy = 0.068 states/eV/atom; magnetic moment = 7.00 μB/cell; calculated volume = 71.7 Å³ per cell
1.0
5.1883 0.0029 0.0000
1.9797 4.7958 0.0000
-3.5840 -2.3993 2.8839
Li O Co Fe
2 4 1 1
Cartesian
0.9899 2.3979 1.4419 Li
3.5840 2.3993 0.0000 Li
4.2218 1.0910 1.4419 O
1.6823 1.1262 0.0000 O
0.9665 -1.0882 1.4419 O
5.4858 3.6724 0.0000 O
2.5942 0.0014 1.4419 Co
0.0000 0.0000 0.0000 Fe

***

--- c ---
Li2FeCoO4 | the Alexandria database | GGA+U | relaxed; DOS at the Fermi energy = 0.060 states/eV/atom; magnetic moment = 9.00 μB/cell; calculated volume = 74.1 Å³ per cell
1.0
2.9340 0.0000 0.0000
0.0000 5.1536 -0.0066
0.0000 1.7564 4.8974
O Fe Co Li
4 1 1 2
Cartesian
0.0000 1.7209 1.3199 O
0.0000 5.1891 3.5709 O
1.4670 2.6069 3.5737 O
1.4670 4.3030 1.3171 O
0.0000 3.4550 2.4454 Fe
1.4670 0.8782 2.4487 Co
0.0000 0.0000 0.0000 Li
1.4670 2.5768 -0.0033 Li

***

Which one sits at the bottom of the stability order? b does.

***

--- a ---
Li2FeCo3O8 | the Alexandria database | GGA+U | relaxed; DOS at the Fermi energy = 0.299 states/eV/atom; magnetic moment = 3.00 μB/cell; calculated volume = 132.9 Å³ per cell
1.0
5.7792 0.0419 0.0295
2.9546 4.9670 0.0295
2.9546 1.6945 4.6691
Co O Li Fe
3 8 2 1
Cartesian
4.3769 2.5102 0.0705 Co
2.9946 3.3189 2.3410 Co
4.3769 0.9087 2.3410 Co
7.3837 2.6994 3.5337 O
4.2665 2.4469 3.3276 O
8.6622 4.9678 3.5040 O
3.0809 1.7669 1.2463 O
6.0587 5.0098 3.5337 O
4.2665 3.9557 1.1884 O
7.3837 4.2346 1.3572 O
5.5689 1.6849 1.1884 O
1.4383 0.8249 0.5818 Li
5.8184 3.3369 2.3536 Li
10.2989 5.9064 4.1661 Fe

***

--- b ---
Li2FeCo3O8 | the Alexandria database | GGA+U | relaxed; magnetic moment = 9.01 μB/cell; calculated volume = 142.5 Å³ per cell
1.0
5.8324 0.0164 0.0169
2.9802 5.0135 0.0169
2.9842 1.7033 4.8942
O Fe Li Co
8 1 2 3
Cartesian
7.2675 2.5590 3.9077 O
7.2602 4.1438 1.0277 O
5.8974 1.7770 1.0203 O
4.5366 2.5893 3.9004 O
4.5293 4.1741 1.0203 O
2.7829 1.5884 1.0437 O
9.0139 5.1448 3.8844 O
5.8993 4.9561 3.9077 O
0.0000 0.0000 0.0000 Fe
5.8984 3.3666 2.4640 Li
1.4921 0.8516 2.4471 Li
4.4063 2.5150 0.0169 Co
1.4901 2.5068 0.0085 Co
2.9162 0.0082 0.0085 Co

***

--- c ---
Li2FeCo3O8 | the Alexandria database | GGA+U | relaxed; DOS at the Fermi energy = 0.183 states/eV/atom; magnetic moment = 3.02 μB/cell; calculated volume = 131.7 Å³ per cell
1.0
-2.1120 3.3341 4.1448
-5.4437 -0.6014 1.6614
-1.2035 -2.2086 5.1148
Co Li O Fe
3 2 8 1
Cartesian
-2.7218 -0.3007 0.8307 Co
-1.0560 1.6670 2.0724 Co
-3.7778 1.3663 2.9031 Co
-1.6991 -1.0329 3.9165 Li
-7.0600 1.5570 7.0044 Li
-2.9034 -0.9670 5.4277 O
-5.8557 1.4910 5.4932 O
-6.5017 0.2324 8.3544 O
-5.3468 -1.2369 6.1734 O
-4.9078 -0.0054 3.6329 O
-3.4124 1.7610 4.7475 O
-3.8514 0.5295 7.2880 O
-2.2575 0.2916 2.5665 O
-4.3796 0.2620 5.4605 Fe

***

Which one sits at the bottom of the stability order? a does.

***

--- a ---
Li2FeCo3O8 | the Alexandria database | GGA+U | relaxed; DOS at the Fermi energy = 0.352 states/eV/atom; magnetic moment = 14.00 μB/cell; calculated volume = 263.0 Å³ per cell
1.0
2.8454 -4.9284 0.0000
2.8454 4.9284 0.0000
0.0000 0.0000 9.3769
Fe O Co Li
2 16 6 4
Cartesian
2.8454 1.6428 4.5879 Fe
2.8454 -1.6428 9.2764 Fe
2.8454 -1.6428 5.7057 O
2.8454 1.6428 1.0172 O
2.8454 -3.3411 1.0049 O
4.3162 0.7936 5.6934 O
1.3746 0.7936 5.6934 O
1.3746 -0.7936 1.0049 O
0.0000 0.0000 7.6052 O
2.8454 0.1769 3.0904 O
1.5759 2.3757 3.0904 O
4.3162 -0.7936 1.0049 O
1.5759 -2.3757 7.7789 O
4.1149 2.3757 3.0904 O
4.1149 -2.3757 7.7789 O
2.8454 3.3411 5.6934 O
0.0000 0.0000 2.9167 O
2.8454 -0.1769 7.7789 O
2.8454 3.2641 2.0051 Co
2.8454 -3.2641 6.6936 Co
1.4413 -0.8321 6.6936 Co
4.2495 -0.8321 6.6936 Co
4.2495 0.8321 2.0051 Co
1.4413 0.8321 2.0051 Co
2.8454 1.6428 8.3919 Li
0.0000 0.0000 9.3652 Li
0.0000 0.0000 4.6767 Li
2.8454 -1.6428 3.7034 Li

***

--- b ---
Li2FeCo3O8 | the Alexandria database | GGA+U | relaxed; magnetic moment = 25.90 μB/cell; calculated volume = 545.4 Å³ per cell
1.0
8.1479 0.0011 0.0007
-0.0106 8.1899 0.0043
-0.0009 -0.0030 8.1735
O Fe Li Co
32 4 8 12
Cartesian
5.0670 4.9298 4.9930 O
3.2154 4.9929 3.0930 O
7.1360 0.8317 3.2166 O
5.1854 1.1372 5.1982 O
1.1536 3.0322 2.9015 O
2.8908 7.1387 5.2664 O
1.1650 1.2065 1.0280 O
7.0535 5.2397 2.9689 O
7.1997 7.2751 5.0297 O
4.9400 0.9987 0.8650 O
7.3060 3.2290 1.0147 O
3.0400 1.1430 2.8541 O
2.8901 5.2824 7.1377 O
1.1103 7.0452 7.0718 O
6.9722 1.0414 6.9997 O
5.3016 5.1383 1.1566 O
4.8771 7.2943 7.1803 O
3.2022 3.0857 4.9455 O
1.0237 5.2443 5.3150 O
0.8501 7.1879 3.2386 O
1.0001 3.2404 7.3107 O
2.9463 2.9647 1.1009 O
3.1294 0.9094 7.2603 O
6.9916 2.8948 5.1216 O
3.0461 7.3289 0.8709 O
0.8272 0.8936 5.0865 O
7.2734 5.0992 7.3234 O
0.9207 5.0213 0.9220 O
5.1169 2.9436 6.9743 O
4.9976 3.1842 3.1823 O
5.2358 7.0264 3.0344 O
7.1225 7.0093 1.1938 O
5.0767 7.1744 1.0283 Fe
1.0451 1.0209 3.0903 Fe
3.0512 5.1158 5.0668 Fe
7.0972 3.0597 7.1514 Fe
4.0866 -0.0004 4.0851 Li
6.0771 2.0579 2.0701 Li
4.0817 4.0888 8.1659 Li
2.0265 6.1412 2.0702 Li
6.0822 6.1426 6.1381 Li
-0.0024 8.1835 8.1528 Li
2.0428 2.0443 6.1324 Li
0.0009 4.0930 4.0790 Li
5.0837 3.0416 5.0685 Co
3.0042 7.1976 7.1519 Co
7.0828 0.9844 5.1144 Co
7.1191 7.1265 3.1188 Co
5.1267 5.0837 3.0748 Co
7.1622 5.1331 1.0690 Co
1.0176 5.1521 7.1883 Co
3.0537 1.0589 0.9804 Co
3.0959 3.0757 3.0218 Co
1.0630 3.1080 1.0266 Co
5.0440 1.0225 7.1108 Co
0.9641 7.1635 5.1594 Co

***

Which one sits at the bottom of the stability order? a does.

***

--- a ---
Li4Fe3CoO8 | the Alexandria database | GGA+U | relaxed; magnetic moment = 6.94 μB/cell; calculated volume = 183.3 Å³ per cell
1.0
5.1165 -0.0213 -0.0745
-0.0500 5.6066 -0.0741
-0.1165 -0.1151 6.3943
Li O Fe Co
4 8 3 1
Cartesian
5.0144 0.3907 3.8873 Li
-0.1207 3.1684 5.5947 Li
2.4867 2.2912 0.7671 Li
2.4436 5.0901 2.2850 Li
1.9503 0.5012 4.0790 O
4.5105 2.2125 0.7608 O
1.9251 3.2311 5.5711 O
1.8121 0.3608 0.6596 O
4.2853 5.0183 5.3948 O
1.8239 3.1734 2.4592 O
4.4616 5.0152 2.1333 O
4.3919 2.3184 3.8248 O
2.5097 2.3057 4.0008 Fe
5.0348 0.3960 0.6662 Fe
5.0417 3.2154 2.2808 Fe
2.3971 5.0304 5.4492 Co

***

--- b ---
Li4Fe3CoO8 | the Alexandria database | GGA+U | relaxed; magnetic moment = 19.00 μB/cell; calculated volume = 149.9 Å³ per cell
1.0
-1.8678 3.2802 9.6514
-7.1420 3.0645 6.9035
-6.8456 2.2164 12.7999
O Fe Li Co
8 3 4 1
Cartesian
-9.8265 5.2830 15.0327 O
-9.5872 4.8339 17.7763 O
-10.5437 6.4687 22.6179 O
-14.0954 7.9903 26.0711 O
-6.0289 3.2780 14.3221 O
-6.2682 3.7271 11.5785 O
-1.7600 0.5707 3.2837 O
-5.3117 2.0923 6.7369 O
-0.9339 1.6401 4.8257 Fe
-3.5710 1.5322 3.4517 Fe
-4.5049 3.1723 8.2774 Fe
-4.3567 2.7483 11.2256 Li
-7.9277 4.2805 14.6774 Li
-3.4228 1.1082 6.3999 Li
-6.9938 2.6404 9.8517 Li
0.0000 0.0000 0.0000 Co

***

Which one sits at the bottom of the stability order? a does.

***

--- a ---
Li3Fe3CoO8 | the Alexandria database | GGA+U | relaxed; magnetic moment = 4.00 μB/cell; calculated volume = 137.0 Å³ per cell
1.0
-0.6478 -3.3143 -4.7765
0.5684 2.2400 -5.3739
4.5760 -1.1688 -1.5509
Fe O Li Co
3 8 3 1
Cartesian
1.9388 -2.5114 -5.6970 Fe
2.5481 0.2713 -5.9963 Fe
4.5100 -1.7011 -6.6353 Fe
1.1595 -0.4151 -1.4993 O
1.1129 -0.9476 -6.5453 O
3.3399 -1.2797 -5.0991 O
1.3270 0.6979 -4.5124 O
0.7179 -2.0840 -4.2132 O
3.3712 -1.8398 -10.2427 O
3.7864 -0.0863 -7.4934 O
3.1463 -3.0097 -7.1790 O
0.2567 0.5122 -7.7604 Li
-0.3232 -2.1363 -7.4756 Li
2.3157 -0.8651 -3.3287 Li
-0.0637 -1.0761 -10.1353 Co

***

--- b ---
Li3Fe3CoO8 | the Alexandria database | GGA+U | relaxed; magnetic moment = 16.00 μB/cell; calculated volume = 147.8 Å³ per cell
1.0
-0.3597 5.2646 -2.7623
-5.3030 2.3030 -1.4320
-2.0913 4.7807 2.8719
O Li Fe Co
8 3 3 1
Cartesian
-5.7969 6.7330 0.4497 O
-1.9571 5.6153 -1.7721 O
-2.8793 5.3576 1.2283 O
-3.1644 8.3102 -0.2587 O
-4.8747 6.9908 -2.5507 O
-1.9967 3.1797 -0.3405 O
-5.7573 9.1686 -0.9819 O
-4.5896 4.0381 -1.0637 O
-0.1798 2.6323 -1.3812 Li
-1.0457 2.3903 1.4360 Li
-2.6515 1.1515 -0.7160 Li
-2.8313 3.7838 -2.0972 Fe
-1.2255 5.0227 0.0548 Fe
-3.6972 3.5418 0.7199 Fe
0.0000 0.0000 0.0000 Co

***

Which one sits at the bottom of the stability order? a does.